(1)
LuGaRu2: relaxed, PBE.

Structure (POSCAR):
```
LuGaRu2
1.0
-1.417 -2.892 -0.056
2.744 -1.364 0.992
-1.783 0.759 5.977
Ru Ga Lu
2 1 1
direct
0.000 0.000 0.781
0.000 0.000 0.219
0.500 0.500 0.000
0.500 0.500 0.500
```

Output
Calculated total energy: -0.5068 Ry per atom
Volume: 65 Å³/f.u.
DOS at the Fermi energy: 5.027 states/eV/f.u.
Magnetization: 0.00 μB/f.u.
Energy relative to the elements: -370 meV per atom

(2)
Li2NiPt2: relaxed, PBE.

Structure (POSCAR):
```
Li2NiPt2
1.0
-2.535 1.547 -6.111
5.652 -2.360 -2.942
-1.137 -2.518 -0.165
Ni Pt Li
2 4 4
direct
0.500 0.500 0.000
0.000 0.000 0.000
0.690 0.810 0.500
0.310 0.190 0.500
0.810 0.310 0.500
0.190 0.690 0.500
0.112 0.388 0.000
0.888 0.612 0.000
0.388 0.888 0.000
0.612 0.112 0.000
```

Output
Energy relative to the lowest polymorph listed for this composition: 0.0 meV/atom
Calculated total energy: -0.3332 Ry per atom
Volume: 64 Å³/f.u.
DOS at the Fermi energy: 3.382 states/eV/f.u.
Magnetization: 0.56 μB/f.u.
Energy relative to the elements: -195 meV per atom

(3)
CsLaAlSb2: relaxed, PBE.

Structure (POSCAR):
```
CsLaAlSb2
1.0
-0.145 4.598 3.154
1.485 -2.968 4.396
5.369 0.966 -1.162
Sb La Cs Al
2 1 1 1
direct
0.000 0.000 0.500
0.500 0.000 0.000
0.500 0.500 0.500
0.000 0.500 0.000
0.000 0.000 0.000
```

Output
Calculated total energy: -0.2437 Ry per atom
Volume: 171 Å³/f.u.
DOS at the Fermi energy: 5.526 states/eV/f.u.
Magnetization: 0.00 μB/f.u.

(4)
MnCdP2: relaxed, PBE.

Structure (POSCAR):
```
MnCdP2
1.0
4.933 0.008 0.005
1.021 4.827 -0.005
-2.385 -3.147 2.958
P Cd Mn
2 1 1
direct
0.049 0.049 0.000
0.451 0.451 0.000
0.750 0.250 0.500
0.250 0.750 0.500
```

Output
Calculated total energy: -0.3607 Ry per atom
Volume: 70 Å³/f.u.
DOS at the Fermi energy: 2.144 states/eV/f.u.
Magnetization: 3.20 μB/f.u.
Energy relative to the elements: 319 meV per atom

(5)
PrPt4Au2: relaxed, PBE.

Structure (POSCAR):
```
PrPt4Au2
1.0
-3.346 0.051 -4.284
-5.344 -1.649 0.686
-2.985 4.655 -1.080
Au Pt Pr
2 4 1
direct
0.750 0.500 0.500
0.250 0.500 0.500
0.695 0.000 0.611
0.305 0.000 0.389
0.695 0.611 0.000
0.305 0.389 0.000
0.000 0.000 0.000
```

Output
Energy relative to the lowest polymorph listed for this composition: 0.0 meV/atom
Calculated total energy: -0.4032 Ry per atom
Volume: 132 Å³/f.u.
DOS at the Fermi energy: 6.882 states/eV/f.u.
Magnetization: 0.00 μB/f.u.
Energy relative to the elements: -415 meV per atom

(6)
CrB2Ir2: relaxed, PBE.

Structure (POSCAR):
```
CrB2Ir2
1.0
-3.400 -1.190 -5.208
-5.080 -1.190 3.588
-0.696 2.569 -0.133
B Cr Ir
4 2 4
direct
0.351 0.851 0.000
0.851 0.649 0.000
0.649 0.149 0.000
0.149 0.351 0.000
0.000 0.000 0.000
0.500 0.500 0.000
0.655 0.845 0.500
0.345 0.155 0.500
0.155 0.655 0.500
0.845 0.345 0.500
```

Output
Calculated total energy: -0.5977 Ry per atom
Volume: 53 Å³/f.u.
DOS at the Fermi energy: 3.929 states/eV/f.u.
Magnetization: 0.02 μB/f.u.
Energy relative to the elements: 8 meV per atom

Q: What is the magnetization in the fourth record?
A: 3.20 μB/f.u.